(1)
# CaCd2Fe | Alexandria via LeMat-Bulk | PBE | relaxed
# Formation energy   185 meV per atom
# Uncorrected energy   -11.6 eV/f.u.
data_CaCd2Fe
_chemical_formula_sum 'Ca2 Cd4 Fe2'
_cell_length_a 3.271
_cell_length_b 5.045
_cell_length_c 10.541
_cell_angle_alpha 90.00
_cell_angle_beta 90.00
_cell_angle_gamma 90.00
_symmetry_space_group_name_H-M 'I m m m'
_symmetry_Int_Tables_number 71
_symmetry_space_group_name_Hall '-I 2 2'
loop_
_atom_site_label
_atom_site_fract_x
_atom_site_fract_y
_atom_site_fract_z
Ca1 0.000 0.000 0.000
Cd1 0.000 0.500 0.210
Fe1 0.000 0.000 0.500

(2)
# NaSrLiCl4 | Alexandria via LeMat-Bulk | PBE | relaxed
# E_form (uncorrected)   -2.0616 eV/atom
# Uncorrected energy   -26.7 eV/f.u.
data_NaSrLiCl4
_chemical_formula_sum 'Na4 Sr4 Li4 Cl16'
_cell_length_a 7.895
_cell_length_b 8.433
_cell_length_c 11.441
_cell_angle_alpha 90.00
_cell_angle_beta 90.00
_cell_angle_gamma 90.00
_symmetry_space_group_name_H-M 'I m m a'
_symmetry_Int_Tables_number 74
_symmetry_space_group_name_Hall '-I 2b 2'
loop_
_atom_site_label
_atom_site_fract_x
_atom_site_fract_y
_atom_site_fract_z
Na1 0.250 0.250 0.250
Sr1 0.000 0.000 0.000
Li1 0.000 0.250 0.638
Cl1 0.000 0.003 0.252
Cl2 0.248 0.250 0.500

(3)
# SrYCd2 | Alexandria via LeMat-Bulk | PBE | relaxed
# Formation energy   62 meV per atom
# Uncorrected energy   -9.7 eV/f.u.
data_SrYCd2
_chemical_formula_sum 'Sr4 Y4 Cd8'
_cell_length_a 8.548
_cell_length_b 8.548
_cell_length_c 7.457
_cell_angle_alpha 90.00
_cell_angle_beta 90.00
_cell_angle_gamma 90.00
_symmetry_space_group_name_H-M 'I -4 2 d'
_symmetry_Int_Tables_number 122
_symmetry_space_group_name_Hall 'I -4 2bw'
loop_
_atom_site_label
_atom_site_fract_x
_atom_site_fract_y
_atom_site_fract_z
Sr1 0.000 0.000 0.000
Y1 0.000 0.000 0.500
Cd1 0.227 0.250 0.625